Entry 1:
Compound: NbZnCuIr
Source: Alexandria via LeMat-Bulk
Functional: PBE
Structure: relaxed

Unit cell a=4.386 b=4.386 c=4.386 alpha=60.00 beta=60.00 gamma=60.00
Sites, in units of the cell vectors:
1 Ir 0.250 0.250 0.250
2 Nb 0.500 0.500 0.500
3 Cu 0.750 0.750 0.750
4 Zn 0.000 0.000 0.000

Summary:
The calculation puts the volume at 59.65 Å³/cell. Its total energy is -6.28 eV/atom. As for the density of states at the Fermi level: 4.4 states/eV per cell. The value obtained for the energy of formation is -0.2063 eV per atom.

=====

Entry 2:
Compound: NaSrCuO3
Source: Alexandria via LeMat-Bulk
Functional: PBE
Structure: relaxed

Unit cell a=3.809 b=6.834 c=6.961 alpha=106.24 beta=90.00 gamma=106.18
Last column: magnetic moment on the atom in μB.
Sites, in units of the cell vectors:
1 O 0.848 0.696 0.168  0.09
2 O 0.152 0.304 0.832  0.09
3 O 0.145 0.290 0.332  0.12
4 O 0.855 0.710 0.668  0.12
5 O 0.497 0.994 0.239  0.08
6 O 0.503 0.006 0.761  0.08
7 Sr 0.347 0.694 0.909  0.00
8 Sr 0.653 0.306 0.091  0.00
9 Na 0.352 0.703 0.429  0.00
10 Na 0.648 0.297 0.571  0.00
11 Cu 0.003 0.007 0.736  0.03
12 Cu 0.997 0.993 0.264  0.03

Summary:
The calculation puts the volume at 166.47 Å³/cell. Its total energy is -5.18 eV/atom. As for the density of states at the Fermi level: 8.6 states/eV per cell. The calculation puts the uncorrected formation energy at -34.98 kcal/mol of atoms.

=====

Entry 3:
Compound: ZrCuRu2
Source: Alexandria via LeMat-Bulk
Functional: PBE
Structure: relaxed

Unit cell a=4.431 b=2.795 c=5.023 alpha=84.73 beta=90.00 gamma=90.00
Sites, in units of the cell vectors:
1 Zr 0.500 0.250 0.250
2 Cu 0.500 0.750 0.750
3 Ru 0.000 0.529 0.523
4 Ru 0.000 0.971 0.977

Summary:
The calculation puts the volume at 61.93 Å³/cell. Its total energy is -7.77 eV/atom. As for the density of states at the Fermi level: 4.9 states/eV per cell. The value obtained for the energy of formation is 0.0276 eV per atom.

=====

Entry 4:
Compound: Mn3TeRu
Source: Alexandria via LeMat-Bulk
Functional: PBE
Structure: relaxed

Unit cell a=4.766 b=4.766 c=4.766 alpha=90.00 beta=90.00 gamma=90.00
Last column: magnetic moment on the atom in μB.
Sites, in units of the cell vectors:
1 Mn 0.500 0.000 0.000  3.83
2 Mn 0.000 0.500 0.000  3.73
3 Mn 0.000 0.000 0.500  3.73
4 Te 0.500 0.500 0.500  -0.02
5 Ru 0.000 0.000 0.000  -0.09

Summary:
The calculation puts the volume at 108.28 Å³/cell. Its total energy is -7.07 eV/atom. As for the density of states at the Fermi level: 7.5 states/eV per cell. The calculation puts the uncorrected formation energy at 21.11 kcal/mol of atoms.

=====

Across the entries above, size of the total moment takes the values 0.000, 0.062, 0.000, 2.397 μB per atom, respectively.